Record 1
DFT (PBE) results for an optimized crystal structure of BeMoP3.

Structure (POSCAR):
```
BeMoP3
1.0
4.210 0.000 0.000
0.000 4.210 0.000
0.000 0.000 4.210
Be Mo P
1 1 3
Direct
0.000 0.000 0.000
0.500 0.500 0.500
0.000 0.000 0.500
0.000 0.500 0.000
0.500 0.000 0.000
```

Output
DFT formation energy (eV per formula unit): 4.36
Magnetic moment (μB/cell): 2.12



Record 2
DFT (PBE) results for an optimized crystal structure of Ca4AlPt.

Structure (POSCAR):
```
Ca4AlPt
1.0
0.000 4.361 4.361
4.361 0.000 4.361
4.361 4.361 0.000
Ca Al Pt
4 1 1
Direct
0.124 0.124 0.124
0.124 0.124 0.627
0.124 0.627 0.124
0.627 0.124 0.124
0.500 0.500 0.500
0.750 0.750 0.750
```

Output
DFT formation energy (eV per formula unit): 2.64
Magnetic moment (μB/cell): 0.48



Record 3
DFT (PBE) results for an optimized crystal structure of Li6Ac3Pb5.

Structure (POSCAR):
```
Li6Ac3Pb5
1.0
4.848 0.000 0.000
0.000 14.523 0.000
0.000 0.000 10.482
Li Ac Pb
12 6 10
Direct
0.250 0.077 0.099
0.250 0.250 0.533
0.250 0.250 0.954
0.250 0.423 0.099
0.250 0.588 0.487
0.250 0.912 0.487
0.750 0.088 0.513
0.750 0.412 0.513
0.750 0.577 0.901
0.750 0.750 0.046
0.750 0.750 0.467
0.750 0.923 0.901
0.250 0.064 0.740
0.250 0.436 0.740
0.250 0.750 0.737
0.750 0.250 0.263
0.750 0.564 0.260
0.750 0.936 0.260
0.250 0.093 0.371
0.250 0.407 0.371
0.250 0.625 0.025
0.250 0.750 0.303
0.250 0.875 0.025
0.750 0.125 0.975
0.750 0.250 0.697
0.750 0.375 0.975
0.750 0.593 0.629
0.750 0.907 0.629
```

Output
DFT formation energy (eV per formula unit): -6.28
Magnetic moment (μB/cell): 0.00



Record 4
DFT (PBE) results for an optimized crystal structure of TbTh2Tc.

Structure (POSCAR):
```
TbTh2Tc
1.0
7.311 0.000 0.000
0.000 9.727 0.000
0.000 0.000 6.334
Tb Th Tc
4 8 4
Direct
0.040 0.250 0.144
0.460 0.750 0.644
0.540 0.250 0.356
0.960 0.750 0.856
0.170 0.063 0.668
0.170 0.437 0.668
0.330 0.563 0.168
0.330 0.937 0.168
0.670 0.063 0.832
0.670 0.437 0.832
0.830 0.563 0.332
0.830 0.937 0.332
0.114 0.750 0.406
0.386 0.250 0.906
0.614 0.750 0.094
0.886 0.250 0.594
```

Output
DFT formation energy (eV per formula unit): -0.48
Magnetic moment (μB/cell): 0.00



Record 5
DFT (PBE) results for an optimized crystal structure of Y3Mg2Pd3.

Structure (POSCAR):
```
Y3Mg2Pd3
1.0
8.376 0.000 0.000
-4.188 7.254 0.000
0.000 0.000 5.796
Y Mg Pd
6 4 6
Direct
0.000 0.262 0.250
0.000 0.738 0.750
0.262 0.000 0.250
0.262 0.262 0.750
0.738 0.000 0.750
0.738 0.738 0.250
0.333 0.667 0.000
0.333 0.667 0.500
0.667 0.333 0.000
0.667 0.333 0.500
0.000 0.397 0.750
0.000 0.603 0.250
0.397 0.000 0.750
0.397 0.397 0.250
0.603 0.000 0.250
0.603 0.603 0.750
```

Output
DFT formation energy (eV per formula unit): -5.82
Magnetic moment (μB/cell): 0.00



Record 6
DFT (PBE) results for an optimized crystal structure of YFeIr.

Structure (POSCAR):
```
YFeIr
1.0
4.090 0.000 0.000
-2.045 3.542 0.000
0.000 0.000 4.052
Y Fe Ir
1 1 1
Direct
0.000 0.000 0.000
0.667 0.333 0.500
0.333 0.667 0.500
```

Output
DFT formation energy (eV per formula unit): -1.14
Magnetic moment (μB/cell): 2.22



Record 7
DFT (PBE) results for an optimized crystal structure of Fe2SiSb.

Structure (POSCAR):
```
Fe2SiSb
1.0
4.165 0.000 0.000
0.000 4.165 0.000
0.000 0.000 3.056
Fe Si Sb
2 1 1
Direct
0.000 0.500 0.000
0.500 0.000 0.000
0.000 0.000 0.500
0.500 0.500 0.500
```

Output
Electronic total energy (eV/atom): -6.44
Magnetic moment (μB/cell): 1.02



Record 8
DFT (PBE) results for an optimized crystal structure of SrMn2Sb.

Structure (POSCAR):
```
SrMn2Sb
1.0
-2.094 2.143 5.750
2.094 -2.143 5.750
2.094 2.143 -5.750
Sr Mn Sb
1 2 1
Direct
0.000 0.000 0.000
0.256 0.756 0.500
0.612 0.612 0.000
0.761 0.261 0.500
```

Output
Electronic total energy (eV/atom): -5.76
Magnetic moment (μB/cell): 8.01



Record 9
DFT (PBE) results for an optimized crystal structure of Cs4CuHg3Cl12.

Structure (POSCAR):
```
Cs4CuHg3Cl12
1.0
-5.300 5.300 5.300
5.300 -5.300 5.300
5.300 5.300 -5.300
Cs Cu Hg Cl
4 1 3 12
Direct
0.000 0.000 0.500
0.000 0.500 0.000
0.500 0.000 0.000
0.500 0.500 0.500
0.000 0.000 0.000
0.000 0.500 0.500
0.500 0.000 0.500
0.500 0.500 0.000
0.000 0.237 0.237
0.000 0.763 0.763
0.237 0.000 0.237
0.237 0.237 0.000
0.250 0.500 0.750
0.250 0.750 0.500
0.500 0.250 0.750
0.500 0.750 0.250
0.750 0.250 0.500
0.750 0.500 0.250
0.763 0.000 0.763
0.763 0.763 0.000
```

Output
Electronic total energy (eV/atom): -2.66
Magnetic moment (μB/cell): 0.95



Record 10
DFT (PBE) results for an optimized crystal structure of NaCa2ScPd.

Structure (POSCAR):
```
NaCa2ScPd
1.0
5.714 0.000 0.000
0.000 5.714 0.000
0.000 0.000 5.134
Na Ca Sc Pd
1 2 1 1
Direct
0.000 0.000 0.000
0.000 0.500 0.500
0.500 0.000 0.500
0.500 0.500 0.000
0.500 0.500 0.500
```

Output
DFT formation energy (eV per formula unit): -0.86
Magnetic moment (μB/cell): 0.00



Record 11
DFT (PBE) results for an optimized crystal structure of KPdOF2.

Structure (POSCAR):
```
KPdOF2
1.0
4.442 0.000 0.000
0.000 4.442 0.000
0.000 0.000 3.874
K Pd O F
1 1 1 2
Direct
0.000 0.000 0.000
0.500 0.500 0.500
0.500 0.500 0.000
0.000 0.500 0.500
0.500 0.000 0.500
```

Output
Electronic total energy (eV/atom): -4.46
Magnetic moment (μB/cell): 1.04



Record 12
DFT (PBE) results for an optimized crystal structure of UPa3S6.

Structure (POSCAR):
```
UPa3S6
1.0
10.847 0.000 0.000
0.000 3.845 0.000
-3.199 0.000 10.779
U Pa S
2 6 12
Direct
0.047 0.250 0.195
0.953 0.750 0.805
0.144 0.250 0.569
0.314 0.750 0.997
0.419 0.250 0.336
0.581 0.750 0.664
0.686 0.250 0.003
0.856 0.750 0.431
0.090 0.750 0.388
0.115 0.250 0.958
0.194 0.750 0.747
0.248 0.750 0.218
0.399 0.250 0.576
0.488 0.250 0.123
0.512 0.750 0.877
0.601 0.750 0.424
0.752 0.250 0.782
0.806 0.250 0.253
0.885 0.750 0.042
0.910 0.250 0.612
```

Output
Electronic total energy (eV/atom): -7.97
Magnetic moment (μB/cell): 9.24